Entry from the Open Quantum Materials Database: crystalline LuGaAsO at its relaxed geometry (PBE).

```
8
Lattice="4.3333 0.0000 0.0000 0.0000 4.3333 0.0000 0.0000 0.0000 9.2154" Properties=species:S:1:pos:R:3 pbc="T T T"
As 0.0000 2.1667 2.9239
As 2.1667 0.0000 6.2915
Ga 0.0000 2.1667 0.4088
Ga 2.1667 0.0000 8.8066
Lu 0.0000 0.0000 4.6077
Lu 2.1667 2.1667 4.6077
O 0.0000 0.0000 0.0000
O 2.1667 2.1667 0.0000
```

Its space group is No. 129. As for the total energy: -4.99 eV/atom.


Entry from the Open Quantum Materials Database: crystalline LuGaAsO at its relaxed geometry (PBE).

```
8
Lattice="-2.1095 1.9211 -2.7430 -3.3480 -1.1377 1.7780 0.1726 7.5602 5.1623" Properties=species:S:1:pos:R:3 pbc="T T T"
As -4.0410 2.8752 0.8383
As -1.2441 5.4685 3.3591
Ga -2.3329 4.9366 0.9684
Ga -2.9521 3.4072 3.2289
Lu -1.3457 1.0166 0.3192
Lu -3.9394 7.3271 3.8782
O -2.4192 1.1564 -1.6127
O -3.0384 -0.3730 0.6478
```

Its space group is No. 129. As for the total energy: -5.89 eV/atom.


Entry from the Open Quantum Materials Database: crystalline Ga2MoAs at its relaxed geometry (PBE).

```
4
Lattice="-3.5759 -2.4247 1.4173 -3.3321 2.0203 2.3433 -4.0745 0.6234 -1.9197" Properties=species:S:1:pos:R:3 pbc="T T T"
As 0.0000 0.0000 0.0000
Ga -5.4913 0.1095 0.9204
Ga -8.2369 0.1643 1.3806
Mo -2.7456 0.0548 0.4602
```

Its space group is No. 216. As for the total energy: -5.00 eV/atom.


Entry from the Open Quantum Materials Database: crystalline GaMoAs2 at its relaxed geometry (PBE).

```
4
Lattice="1.0829 2.0987 3.9199 -2.5917 -0.6217 3.7202 1.6077 -2.4306 3.5286" Properties=species:S:1:pos:R:3 pbc="T T T"
As 0.0000 0.0000 0.0000
As 0.0247 -0.2384 2.7922
Ga 0.0742 -0.7152 8.3766
Mo 0.0495 -0.4768 5.5844
```

Its space group is No. 216. As for the total energy: -5.29 eV/atom.


Entry from the Open Quantum Materials Database: crystalline GaAsW4N2 at its relaxed geometry (PBE).

```
8
Lattice="2.9030 0.0000 0.0000 -1.4515 2.5141 0.0000 0.0000 0.0000 14.2383" Properties=species:S:1:pos:R:3 pbc="T T T"
As 0.0000 1.6761 7.1192
Ga 1.4515 0.8380 0.0000
N 0.0000 0.0000 3.6112
N 0.0000 0.0000 10.6271
W 0.0000 1.6761 2.2108
W 1.4515 0.8380 5.0609
W 1.4515 0.8380 9.1774
W 0.0000 1.6761 12.0275
```

Its space group is No. 187. As for the total energy: -9.31 eV/atom.


Entry from the Open Quantum Materials Database: crystalline Nb3GaAs at its relaxed geometry (PBE).

```
10
Lattice="0.2644 3.2882 -5.0669 -2.6315 -0.5971 5.4106 6.3456 5.1154 3.6508" Properties=species:S:1:pos:R:3 pbc="T T T"
As 0.0000 0.0000 0.0000
As 3.1728 2.5577 1.8254
Ga -0.3819 1.5715 3.9237
Ga 4.3604 6.2349 0.0707
Nb -0.5164 2.1286 -1.3656
Nb 1.5651 4.1837 -3.1203
Nb 2.2385 4.3495 0.2194
Nb 1.7401 3.4570 3.7750
Nb 2.4135 3.6228 7.1148
Nb 4.4950 5.6778 5.3600
```

Its space group is No. 63. As for the total energy: -7.79 eV/atom.


Record-wise mass density values, in g cm⁻³: 6.4 7.8 7.8 7.7 14.5 7.6